Record 1
## Pu2MgZn3Ga4 (PBE)

Data for Pu2MgZn3Ga4 after structural relaxation.

Computed properties:
N(E_F), states/eV per cell: 25.50
Calculated density, g cm⁻³: 8.4
Raw total energy, eV per formula unit: -48.462
Space group: P-4m2 (115)

```
Pu2MgZn3Ga4
1.0
4.231 0.000 0.000
0.000 4.231 0.000
0.000 0.000 10.937
Zn Ga Pu Mg
3 4 2 1
Direct
0.500 0.000 0.868
0.000 0.500 0.132
0.000 0.000 0.500
0.500 0.000 0.647
0.000 0.500 0.353
0.000 0.000 0.000
0.500 0.500 0.000
0.000 0.500 0.762
0.500 0.000 0.238
0.500 0.500 0.500
```

Record 2
## PuMgZnGa (PBE)

Data for PuMgZnGa after structural relaxation.

Computed properties:
N(E_F), states/eV per cell: 8.08
Calculated density, g cm⁻³: 8.2
Raw total energy, eV per formula unit: -21.137
Space group: F-43m (216)

```
PuMgZnGa
1.0
4.873 0.000 0.000
2.436 4.220 0.000
2.436 1.407 3.978
Pu Ga Mg Zn
1 1 1 1
Direct
0.000 0.000 0.000
0.250 0.250 0.250
0.500 0.500 0.500
0.750 0.750 0.750
```

Record 3
## RbMgGa (PBE)

Data for RbMgGa after structural relaxation.

Computed properties:
N(E_F), states/eV per cell: 5.51
Calculated density, g cm⁻³: 2.9
Raw total energy, eV per formula unit: -5.567
Space group: Pm (6)

```
RbMgGa
1.0
-2.031 0.841 4.427
-1.467 -4.702 0.222
7.374 -2.118 3.780
Mg Ga Rb
2 2 2
Direct
0.312 0.829 0.589
0.812 0.330 0.584
0.812 0.830 0.749
0.312 0.329 0.425
0.812 0.828 0.238
0.312 0.328 0.935
```

Record 4
## RbMg2Ga (PBE)

Data for RbMg2Ga after structural relaxation.

Computed properties:
N(E_F), states/eV per cell: 1.03
Calculated density, g cm⁻³: 2.0
Raw total energy, eV per formula unit: -6.337
Space group: I4_1/amd (141)

```
RbMg2Ga
1.0
6.389 0.000 0.000
0.000 6.389 0.000
3.195 3.195 8.263
Mg Ga Rb
4 2 2
Direct
0.875 0.625 0.750
0.375 0.625 0.750
0.375 0.625 0.250
0.375 0.125 0.250
0.250 0.750 0.500
0.500 0.500 0.000
0.000 0.000 0.000
0.750 0.250 0.500
```

Record 5
## RbMgGa4 (PBE)

Data for RbMgGa4 after structural relaxation.

Computed properties:
N(E_F), states/eV per cell: 1.25
Calculated density, g cm⁻³: 4.7
Raw total energy, eV per formula unit: -14.421
Space group: F-43m (216)

```
RbMgGa4
1.0
5.802 0.000 0.000
2.901 5.024 0.000
2.901 1.675 4.737
Ga Mg Rb
4 1 1
Direct
0.122 0.626 0.626
0.626 0.626 0.626
0.626 0.626 0.122
0.626 0.122 0.626
0.000 0.000 0.000
0.250 0.250 0.250
```

Record 6
## RbMg2Ga4 (PBE)

Data for RbMg2Ga4 after structural relaxation.

Computed properties:
N(E_F), states/eV per cell: 3.45
Calculated density, g cm⁻³: 4.0
Raw total energy, eV per formula unit: -16.330
Space group: Immm (71)

```
RbMg2Ga4
1.0
4.218 0.000 -0.962
-0.232 4.352 -1.017
-0.063 -0.096 9.452
Ga Rb Mg
4 1 2
Direct
0.343 0.343 0.686
0.657 0.657 0.314
0.920 0.420 0.840
0.080 0.580 0.160
0.500 0.000 0.000
0.810 0.810 0.621
0.190 0.190 0.379
```

Record 7
## RbMg14Ga (PBE)

Data for RbMg14Ga after structural relaxation.

Computed properties:
N(E_F), states/eV per cell: 7.75
Calculated density, g cm⁻³: 2.1
Raw total energy, eV per formula unit: -24.524
Space group: Amm2 (38)

```
RbMg14Ga
1.0
3.262 -5.654 0.000
3.262 5.654 0.000
0.000 0.000 10.671
Mg Rb Ga
14 1 1
Direct
0.662 0.338 0.232
0.817 0.677 0.500
0.172 0.828 0.268
0.665 0.825 0.240
0.175 0.335 0.240
0.172 0.828 0.732
0.175 0.335 0.760
0.665 0.825 0.760
0.323 0.183 0.500
0.334 0.666 0.000
0.836 0.164 0.000
0.329 0.156 0.000
0.662 0.338 0.768
0.844 0.671 0.000
0.819 0.181 0.500
0.350 0.650 0.500
```

Record 8
## RbMg2Ga (PBE)

Data for RbMg2Ga after structural relaxation.

Computed properties:
N(E_F), states/eV per cell: 1.50
Calculated density, g cm⁻³: 3.0
Raw total energy, eV per formula unit: -6.043
Space group: R-3m (166)

```
RbMg2Ga
1.0
3.368 0.000 0.000
1.684 2.917 0.000
1.684 0.972 11.655
Mg Rb Ga
2 1 1
Direct
0.899 0.899 0.303
0.101 0.101 0.697
0.000 0.000 0.000
0.500 0.500 0.500
```